1.
# FeCu2Ru | Alexandria | PBE | relaxed
data_FeCu2Ru
_space_group_name_H-M_alt 'P 1'
_space_group_IT_number 1
_cell_length_a 4.2382
_cell_length_b 2.5316
_cell_length_c 4.7470
_cell_angle_alpha 85.54
_cell_angle_beta 90.00
_cell_angle_gamma 90.00
loop_
_space_group_symop_operation_xyz
'x,y,z'
loop_
_atom_site_label
_atom_site_type_symbol
_atom_site_fract_x
_atom_site_fract_y
_atom_site_fract_z
Cu1 Cu 0.5000 0.1527 0.2608
Cu2 Cu 0.0000 0.1204 0.9916
Ru1 Ru 0.5000 0.6998 0.7626
Fe1 Fe 0.0000 0.5272 0.4849
# - Fermi-level density of states (states/eV per atom) = 0.7029
# - magnetization (μB per formula unit) = 3.5

---

2.
# FeCu2Ru | Alexandria | PBE | relaxed
data_FeCu2Ru
_space_group_name_H-M_alt 'P 1'
_space_group_IT_number 1
_cell_length_a 5.7598
_cell_length_b 4.6634
_cell_length_c 2.5327
_cell_angle_alpha 90.25
_cell_angle_beta 63.47
_cell_angle_gamma 119.75
loop_
_space_group_symop_operation_xyz
'x,y,z'
loop_
_atom_site_label
_atom_site_type_symbol
_atom_site_fract_x
_atom_site_fract_y
_atom_site_fract_z
Cu1 Cu 0.0000 0.0000 0.0000
Cu2 Cu 0.5000 0.0000 0.5000
Ru1 Ru 0.5000 0.5000 0.0000
Fe1 Fe 0.0000 0.5000 0.5000
# - Fermi-level density of states (states/eV per atom) = 0.7110
# - magnetization (μB per formula unit) = 3.4

---

no.,energy relative to the lowest polymorph listed for this composition (eV per atom),formation enthalpy at 0 K (eV per atom)
1,0.072,0.22
2,0.067,0.22